First-principles (PBE-GGA) data for crystalline SiAg2O3 at its relaxed geometry, as listed in Alexandria.

abc: 4.6077 7.0825 10.3237
angles: 90.00 90.00 90.00
Last column: nearest neighbours and their distance in Å.
Space group P2_12_12_1 (No. 19)
One atom of each set of equivalent atoms:
1 Si 0.0381 0.1421 0.0630 [4 per cell]  4 O 1.62-1.67
2 Ag 0.0211 0.5918 0.7761 [4 per cell]  3 O 2.34-2.58
3 Ag 0.1000 0.6354 0.1194 [4 per cell]  2 O 2.17-2.23
4 O 0.1080 0.4368 0.4617 [4 per cell]  1 Si 1.62
5 O 0.1884 0.1558 0.2076 [4 per cell]  1 Si 1.65
6 O 0.2068 0.8144 0.4521 [4 per cell]  2 Si 1.67

Crystal system: orthorhombic
E_form (uncorrected) in eV/atom: -1.399

***

First-principles (PBE-GGA) data for crystalline Ce2ErZn6 at its relaxed geometry, as listed in Alexandria.

abc: 7.9234 7.9234 3.3708
angles: 90.00 90.00 120.00
Last column: nearest neighbours and their distance in Å.
Space group P6/mmm (No. 191)
One atom of each set of equivalent atoms:
1 Ce 0.3333 0.6667 0.0000 [2 per cell]  12 Zn 3.15, 2 Ce 3.37
2 Er 0.0000 0.0000 0.0000 [1 per cell]  12 Zn 3.10, 2 Er 3.37
3 Zn 0.0000 0.3286 0.5000 [6 per cell]  3 Zn 2.60-2.72

DFT formation energy in eV per atom: -0.307
Crystal system: hexagonal

***

First-principles (PBE-GGA) data for crystalline Tb4Y8Ho3 at its relaxed geometry, as listed in Alexandria.

abc: 13.4011 12.8188 6.7416
angles: 90.00 120.18 90.00
Last column: nearest neighbours and their distance in Å.
Space group C2/m (No. 12)
One atom of each set of equivalent atoms:
1 Tb 0.0000 0.0000 0.0000 [2 per cell]  6 Y 3.22-3.49, 2 Tb 3.37
2 Tb 0.0000 0.0000 0.5000 [2 per cell]  2 Tb 3.37, 4 Y 3.53-3.57
3 Tb 0.2500 0.2500 0.0000 [4 per cell]  4 Y 3.21-3.35, 2 Ho 3.37
4 Y 0.0000 0.2516 0.0000 [4 per cell]  3 Ho 3.18-3.35, 3 Tb 3.22-3.35
5 Y 0.0000 0.3577 0.5000 [4 per cell]  4 Ho 3.62-3.83, 2 Tb 3.63, 7 Y 3.63-3.65
6 Y 0.2327 0.5000 0.9704 [4 per cell]  4 Tb 3.21-3.57, 1 Ho 3.22, 2 Y 3.23-3.51
7 Y 0.2344 0.5000 0.4924 [4 per cell]  3 Ho 3.21-3.23, 2 Y 3.23-3.51, 2 Tb 3.48-3.53
8 Ho 0.0000 0.5000 0.0000 [2 per cell]  6 Y 3.18-3.23
9 Ho 0.2500 0.2500 0.5000 [4 per cell]  4 Y 3.21-3.35, 2 Tb 3.37

Distance to the lowest polymorph of the same formula in meV per atom: 248
DFT formation energy in eV per atom: 0.396
Crystal system: monoclinic

***

First-principles (PBE-GGA) data for crystalline Hg4Ir6O19 at its relaxed geometry, as listed in Alexandria.

abc: 9.3061 9.3061 9.3061
angles: 90.00 90.00 90.00
Last column: nearest neighbours and their distance in Å.
Space group I23 (No. 197)
One atom of each set of equivalent atoms:
1 Hg 0.1413 0.1413 0.1413 [8 per cell]  1 O 2.28
2 Ir 0.0000 0.1626 0.5000 [12 per cell]  6 O 1.95-1.98
3 O 0.0000 0.0000 0.0000 [2 per cell]  4 Hg 2.28
4 O 0.0000 0.0000 0.3627 [12 per cell]  2 Ir 1.98
5 O 0.0103 0.2909 0.3353 [24 per cell]  2 Ir 1.95

Crystal system: cubic
E_form (uncorrected) in eV/atom: -0.525

***

First-principles (PBE-GGA) data for crystalline PuMg2Ag at its relaxed geometry, as listed in Alexandria.

abc: 5.4040 5.4040 3.1286
angles: 90.00 90.00 90.00
Last column: nearest neighbours and their distance in Å.
Space group P4/mmm (No. 123)
One atom of each set of equivalent atoms:
1 Pu 0.0000 0.0000 0.0000 [1 per cell]  8 Mg 3.12, 2 Pu 3.13
2 Mg 0.0000 0.5000 0.5000 [2 per cell]  4 Pu 3.12, 4 Ag 3.12, 2 Mg 3.13
3 Ag 0.5000 0.5000 0.0000 [1 per cell]  8 Mg 3.12, 2 Ag 3.13

DFT formation energy in eV per atom: 0.192
Crystal system: tetragonal

***

First-principles (PBE-GGA) data for crystalline CaFe3H at its relaxed geometry, as listed in Alexandria.

abc: 3.9601 3.9601 3.9601
angles: 90.00 90.00 90.00
Last column: nearest neighbours and their distance in Å.
Space group Pm-3m (No. 221)
One atom of each set of equivalent atoms:
1 Ca 0.0000 0.0000 0.0000 [1 per cell]  12 Fe 2.80
2 Fe 0.0000 0.5000 0.5000 [3 per cell]  2 H 1.98
3 H 0.5000 0.5000 0.5000 [1 per cell]  6 Fe 1.98

Distance to the lowest polymorph of the same formula in meV per atom: 0
Crystal system: cubic

***

First-principles (PBE-GGA) data for crystalline ThTcSn at its relaxed geometry, as listed in Alexandria.

abc: 8.4996 4.9039 7.6462
angles: 90.00 111.59 90.00
Last column: nearest neighbours and their distance in Å.
Space group C2/m (No. 12)
One atom of each set of equivalent atoms:
1 Th 0.2387 0.0000 0.2181 [4 per cell]  1 Tc 2.62
2 Tc 0.1370 0.5000 0.4129 [4 per cell]  1 Th 2.62, 4 Sn 2.90-2.94
3 Sn 0.0000 0.0000 0.5000 [2 per cell]  6 Tc 2.90-2.91
4 Sn 0.0000 0.5000 0.0000 [2 per cell]  2 Tc 2.94, 6 Th 3.23

Distance to the lowest polymorph of the same formula in meV per atom: 0
DFT formation energy in eV per atom: -0.176
Crystal system: monoclinic

***

First-principles (PBE-GGA) data for crystalline DyCu2Au at its relaxed geometry, as listed in Alexandria.

abc: 6.5208 6.5208 6.5208
angles: 90.00 90.00 90.00
Last column: nearest neighbours and their distance in Å.
Space group Fm-3m (No. 225)
One atom of each set of equivalent atoms:
1 Dy 0.0000 0.0000 0.0000 [4 per cell]  8 Cu 2.82
2 Cu 0.2500 0.2500 0.2500 [8 per cell]  4 Au 2.82, 4 Dy 2.82
3 Au 0.0000 0.0000 0.5000 [4 per cell]  8 Cu 2.82

DFT formation energy in eV per atom: -0.331
Crystal system: cubic

***

First-principles (PBE-GGA) data for crystalline Np4As3S at its relaxed geometry, as listed in Alexandria.

abc: 5.7641 5.7641 5.7641
angles: 90.00 90.00 90.00
Last column: nearest neighbours and their distance in Å.
Space group Pm-3m (No. 221)
One atom of each set of equivalent atoms:
1 Np 0.0000 0.0000 0.0000 [1 per cell]  6 As 2.88
2 Np 0.0000 0.5000 0.5000 [3 per cell]  2 S 2.88, 4 As 2.88
3 As 0.0000 0.0000 0.5000 [3 per cell]  6 Np 2.88
4 S 0.5000 0.5000 0.5000 [1 per cell]  6 Np 2.88

Crystal system: cubic
E_form (uncorrected) in eV/atom: -0.846

***

First-principles (PBE-GGA) data for crystalline Cs2CdGaO at its relaxed geometry, as listed in Alexandria.

abc: 6.6444 6.6444 4.0863
angles: 90.00 90.00 90.00
Last column: nearest neighbours and their distance in Å.
Space group P4/mmm (No. 123)
One atom of each set of equivalent atoms:
1 Cs 0.0000 0.5000 0.0000 [2 per cell]  2 O 3.32
2 Cd 0.0000 0.0000 0.5000 [1 per cell]  8 Cs 3.90, 2 Cd 4.09
3 Ga 0.5000 0.5000 0.5000 [1 per cell]  2 O 2.04
4 O 0.5000 0.5000 0.0000 [1 per cell]  2 Ga 2.04

Crystal system: tetragonal
E_form (uncorrected) in eV/atom: -0.409

***

First-principles (PBE-GGA) data for crystalline SbIrCl2O at its relaxed geometry, as listed in Alexandria.

abc: 4.5603 4.5603 5.4530
angles: 90.00 90.00 90.00
Last column: nearest neighbours and their distance in Å.
Space group P4/mmm (No. 123)
One atom of each set of equivalent atoms:
1 Sb 0.0000 0.0000 0.0000 [1 per cell]  2 Ir 2.73
2 Ir 0.0000 0.0000 0.5000 [1 per cell]  4 Cl 2.28
3 Cl 0.0000 0.5000 0.5000 [2 per cell]  2 Ir 2.28
4 O 0.5000 0.5000 0.0000 [1 per cell]  4 Sb 3.22, 8 Cl 3.55

Distance to the lowest polymorph of the same formula in meV per atom: 0
Crystal system: tetragonal
E_form (uncorrected) in eV/atom: 0.576

***

First-principles (PBE-GGA) data for crystalline Pr4OsAuI2 at its relaxed geometry, as listed in Alexandria.

abc: 7.5060 4.3062 8.5390
angles: 90.00 107.01 90.00
Last column: nearest neighbours and their distance in Å.
Space group P2/m (No. 10)
One atom of each set of equivalent atoms:
1 Pr 0.2148 0.0000 0.1876 [2 per cell]  2 Os 2.88, 1 Au 3.03
2 Pr 0.2451 0.5000 0.8091 [2 per cell]  1 Os 2.79, 2 Au 3.02
3 Os 0.0000 0.5000 0.0000 [1 per cell]  6 Pr 2.79-2.88
4 Au 0.5000 0.0000 0.0000 [1 per cell]  6 Pr 3.02-3.03
5 I 0.0000 0.0000 0.5000 [1 per cell]  6 Pr 3.49-3.50
6 I 0.5000 0.5000 0.5000 [1 per cell]  6 Pr 3.60-3.69

Crystal system: monoclinic
E_form (uncorrected) in eV/atom: -0.743